Crystalline CuTeAsO6 at its relaxed geometry, computed with PBE.

a b c (Å): 5.089 5.089 9.431
angles (deg): 90.00 90.00 120.00
Positions (direct):
O: 0.644 0.014 0.863
O: 0.370 0.014 0.637
O: 0.630 0.644 0.137
O: 0.630 0.986 0.363
O: 0.986 0.356 0.637
O: 0.356 0.986 0.137
O: 0.370 0.356 0.863
O: 0.014 0.370 0.137
O: 0.014 0.644 0.363
O: 0.986 0.630 0.863
O: 0.644 0.630 0.637
O: 0.356 0.370 0.363
As: 0.333 0.667 0.250
As: 0.667 0.333 0.750
Te: 0.333 0.667 0.750
Te: 0.667 0.333 0.250
Cu: 0.000 0.000 0.000
Cu: 0.000 0.000 0.500

Calculated values
total DFT energy (no corrections): -5.49 eV/atom
uncorrected formation energy: -0.86 eV/atom

***

Crystalline ThCuAsO at its relaxed geometry, computed with PBE.

a b c (Å): 3.984 3.984 8.440
angles (deg): 90.00 90.00 90.00
Positions (direct):
O: 0.000 0.000 0.500
O: 0.500 0.500 0.500
Th: 0.500 0.000 0.661
Th: 0.000 0.500 0.339
As: 0.500 0.000 0.178
As: 0.000 0.500 0.822
Cu: 0.000 0.000 0.000
Cu: 0.500 0.500 0.000

Calculated values
total DFT energy (no corrections): -7.20 eV/atom
uncorrected formation energy: -1.92 eV/atom

***

Crystalline TlCu2As2O8 at its relaxed geometry, computed with PBE.

a b c (Å): 6.406 10.502 11.177
angles (deg): 90.00 90.00 98.58
Positions (direct):
O: 0.135 0.709 0.147
O: 0.399 0.106 0.194
O: 0.900 0.857 0.994
O: 0.604 0.637 0.827
O: 0.601 0.894 0.806
O: 0.604 0.137 0.673
O: 0.865 0.291 0.853
O: 0.672 0.599 0.490
O: 0.900 0.357 0.506
O: 0.889 0.507 0.294
O: 0.328 0.401 0.510
O: 0.423 0.245 0.885
O: 0.577 0.755 0.115
O: 0.865 0.791 0.647
O: 0.120 0.220 0.672
O: 0.328 0.901 0.990
O: 0.100 0.643 0.494
O: 0.399 0.606 0.306
O: 0.111 0.993 0.794
O: 0.880 0.780 0.328
O: 0.601 0.394 0.694
O: 0.111 0.493 0.706
O: 0.889 0.007 0.206
O: 0.135 0.209 0.353
O: 0.577 0.255 0.385
O: 0.100 0.143 0.006
O: 0.880 0.280 0.172
O: 0.396 0.363 0.173
O: 0.423 0.745 0.615
O: 0.396 0.863 0.327
O: 0.672 0.099 0.010
O: 0.120 0.720 0.828
As: 0.883 0.132 0.107
As: 0.626 0.255 0.777
As: 0.117 0.368 0.607
As: 0.883 0.632 0.393
As: 0.374 0.745 0.223
As: 0.374 0.245 0.277
As: 0.626 0.755 0.723
As: 0.117 0.868 0.893
Tl: 0.740 0.994 0.423
Tl: 0.260 0.006 0.577
Tl: 0.740 0.494 0.077
Tl: 0.260 0.506 0.923
Cu: 0.409 0.156 0.033
Cu: 0.948 0.834 0.166
Cu: 0.052 0.666 0.666
Cu: 0.948 0.334 0.334
Cu: 0.591 0.844 0.967
Cu: 0.591 0.344 0.533
Cu: 0.052 0.166 0.834
Cu: 0.409 0.656 0.467

Calculated values
total DFT energy (no corrections): -5.45 eV/atom
uncorrected formation energy: -0.87 eV/atom